Record 1
Compound: TcIrRu2
Source: Alexandria
Functional: PBE-GGA
Structure: optimized geometry

```
4
Lattice="9.026 -0.005 -0.003 8.617 2.686 -0.003 8.617 1.309 2.345" Properties=species:S:1:pos:R:3 pbc="T T T"
Ir 19.695 2.993 1.755
Ru 26.244 3.988 2.338
Ru 13.145 1.998 1.171
Tc 6.565 0.998 0.585
```

formation energy = 0.037 eV/atom
polymorph energy (0 for the lowest one) = 0.173 eV/atom
D(E_F) = 0.9958 states/eV/atom

=====

Record 2
Compound: Sc3H2Pb3
Source: Alexandria
Functional: PBE-GGA
Structure: optimized geometry

```
16
Lattice="-2.426 -2.137 1.364 5.105 -1.038 2.939 -3.835 11.109 10.582" Properties=species:S:1:pos:R:3 pbc="T T T"
Sc -1.647 3.152 6.522
Sc -0.977 9.031 12.410
Sc -0.180 -1.097 2.475
Sc 0.490 4.782 8.363
Sc 1.576 1.405 5.004
Sc -2.733 6.529 9.881
H -2.825 8.459 12.742
H 0.071 4.101 6.550
H -1.228 3.833 8.335
H 1.668 -0.525 2.143
Pb 0.708 1.452 8.048
Pb -2.971 9.685 9.889
Pb 1.814 -1.751 4.996
Pb -1.865 6.482 6.837
Pb -1.373 1.276 4.072
Pb 0.216 6.658 10.814
```

D(E_F) = 0.7537 states/eV/atom
DFT total energy = -4.939 eV/atom

=====

Record 3
Compound: AlTc2Sb
Source: Alexandria
Functional: PBE-GGA
Structure: optimized geometry

```
4
Lattice="-0.815 2.800 1.339 -4.379 -0.170 -2.309 -1.634 -2.028 3.248" Properties=species:S:1:pos:R:3 pbc="T T T"
Sb -3.007 -1.099 0.469
Tc 0.000 0.000 0.000
Tc -2.597 1.315 -0.485
Al -1.225 0.386 2.293
```

E_form (uncorrected) = 0.9 eV/f.u.
polymorph energy (0 for the lowest one) = 0.301 eV/atom
D(E_F) = 1.0541 states/eV/atom

=====

Record 4
Compound: Ca3Sm3DyTe8
Source: Alexandria
Functional: PBE-GGA
Structure: optimized geometry

```
15
Lattice="-8.686 -0.816 -1.500 5.813 -3.916 -5.410 -1.139 -3.179 8.323" Properties=species:S:1:pos:R:3 pbc="T T T"
Ca 0.000 0.000 0.000
Ca 2.906 -1.958 -2.705
Ca -1.437 -2.366 -3.455
Sm -4.912 -1.997 3.412
Sm -2.006 -3.955 0.707
Sm 2.337 -3.547 1.457
Dy -0.569 -1.589 4.162
Te 0.450 -2.951 -1.003
Te -4.462 -4.959 2.416
Te -3.891 -3.388 -1.745
Te -0.121 -4.523 3.159
Te -6.815 -1.424 0.974
Te 2.802 -6.486 0.440
Te -2.445 -1.014 1.728
Te -1.567 -6.897 -0.314
```

E_form (uncorrected) = -22.6 eV/f.u.
D(E_F) = 0.3111 states/eV/atom

=====

Record 5
Compound: RbS2BrCl
Source: Alexandria
Functional: PBE-GGA
Structure: optimized geometry

```
5
Lattice="4.855 0.000 0.000 0.000 4.855 0.000 0.000 0.000 6.887" Properties=species:S:1:pos:R:3 pbc="T T T"
S 0.000 2.428 0.000
S 2.428 0.000 0.000
Br 0.000 0.000 0.000
Rb 2.428 2.428 3.444
Cl 0.000 0.000 3.444
```

E_form (uncorrected) = 0.0 eV/f.u.
polymorph energy (0 for the lowest one) = 0.000 eV/atom
D(E_F) = 1.1742 states/eV/atom

=====

Record 6
Compound: Hg2SbP
Source: Alexandria
Functional: PBE-GGA
Structure: optimized geometry

```
4
Lattice="-1.534 3.400 -1.403 -3.657 -1.571 0.191 -0.640 2.235 6.115" Properties=species:S:1:pos:R:3 pbc="T T T"
Hg -1.828 -0.785 0.096
Hg -0.767 1.700 -0.702
Sb -0.320 1.117 3.058
P -2.915 2.032 2.452
```

E_form (uncorrected) = 1.4 eV/f.u.
polymorph energy (0 for the lowest one) = 0.265 eV/atom
D(E_F) = 0.5420 states/eV/atom

=====

Record 7
Compound: Cs3Na2HoI9
Source: Alexandria
Functional: PBE-GGA
Structure: optimized geometry

```
15
Lattice="8.629 0.000 0.000 -4.314 7.473 0.000 0.000 0.000 11.055" Properties=species:S:1:pos:R:3 pbc="T T T"
Cs 0.000 4.982 7.491
Cs 0.000 0.000 0.000
Cs 4.314 2.491 3.564
Na 0.000 4.982 1.864
Na 4.314 2.491 9.192
Ho 0.000 0.000 5.528
I 6.511 1.223 7.274
I 4.314 5.027 7.274
I 2.118 1.223 7.274
I 2.197 6.250 3.781
I 0.000 2.445 3.781
I -2.197 6.250 3.781
I 4.314 0.000 0.000
I -2.157 3.736 0.000
I 2.157 3.736 0.000
```

E_form (uncorrected) = -19.3 eV/f.u.
D(E_F) = 1.0807 states/eV/atom

=====

Record 8
Compound: PuAg2F8
Source: Alexandria
Functional: PBE-GGA
Structure: optimized geometry

```
11
Lattice="-0.922 3.645 -1.015 -2.584 -1.783 -4.058 -5.458 -1.848 5.794" Properties=species:S:1:pos:R:3 pbc="T T T"
Pu -0.461 1.823 -0.507
Ag -4.607 1.367 1.624
Ag -4.356 -1.353 -0.903
F -6.692 -1.177 1.853
F -4.294 0.233 -2.735
F -5.572 0.541 -0.467
F -6.480 1.456 3.642
F -3.392 -0.527 1.188
F -4.669 -0.219 3.456
F -2.271 1.191 -1.131
F -2.484 -1.441 -2.921
```

E_form (uncorrected) = -23.6 eV/f.u.
polymorph energy (0 for the lowest one) = 0.015 eV/atom
D(E_F) = 0.5284 states/eV/atom